First-principles (PBE) data for a geometry-optimized VCu12As3S16 structure, as listed in Alexandria via LeMat-Bulk.

Lattice parameters (Å, degrees): 10.5959 10.5959 10.5959 90.04 90.04 90.04
Closest atoms and distances in Å follow each position.
Atoms (fractional coordinates):
V 0.4987 0.4987 0.4987  4 S 2.21-2.23
V 0.9987 0.9987 0.9987  4 S 2.21-2.23
Cu 0.4966 0.2405 0.4980  4 S 2.29-2.33
Cu 0.4983 0.5013 0.7554  4 S 2.30-2.32
Cu 0.2405 0.4980 0.4966  4 S 2.29-2.33
Cu 0.4980 0.4966 0.2405  4 S 2.29-2.33
Cu 0.7554 0.4983 0.5013  4 S 2.30-2.32
Cu 0.5013 0.7554 0.4983  4 S 2.30-2.32
Cu 0.9966 0.9980 0.7405  4 S 2.29-2.33
Cu 0.9983 0.2554 0.0013  4 S 2.30-2.32
Cu 0.7405 0.9966 0.9980  4 S 2.29-2.33
Cu 0.9980 0.7405 0.9966  4 S 2.29-2.33
Cu 0.2554 0.0013 0.9983  4 S 2.30-2.32
Cu 0.0013 0.9983 0.2554  4 S 2.30-2.32
Cu 0.0070 0.2560 0.4966  4 S 2.28-2.31
Cu 0.5070 0.9966 0.7560  4 S 2.28-2.31
Cu 0.2560 0.4966 0.0070  4 S 2.28-2.31
Cu 0.4966 0.0070 0.2560  4 S 2.28-2.31
Cu 0.7560 0.5070 0.9966  4 S 2.28-2.31
Cu 0.9966 0.7560 0.5070  4 S 2.28-2.31
Cu 0.2484 0.2479 0.7528  4 S 2.27-2.40
Cu 0.7528 0.2484 0.2479  4 S 2.27-2.40
Cu 0.2479 0.7528 0.2484  4 S 2.27-2.40
Cu 0.7484 0.2528 0.7479  4 S 2.27-2.40
Cu 0.2528 0.7479 0.7484  4 S 2.27-2.40
Cu 0.7479 0.7484 0.2528  4 S 2.27-2.40
As 0.5003 0.2541 0.0015  4 S 2.22-2.30
As 0.0003 0.5015 0.7541  4 S 2.22-2.30
As 0.2541 0.0015 0.5003  4 S 2.22-2.30
As 0.0015 0.5003 0.2541  4 S 2.22-2.30
As 0.7541 0.0003 0.5015  4 S 2.22-2.30
As 0.5015 0.7541 0.0003  4 S 2.22-2.30
S 0.3800 0.1277 0.8722  3 Cu 2.27-2.31, 1 As 2.30
S 0.1290 0.3766 0.8756  3 Cu 2.27-2.31, 1 As 2.30
S 0.1275 0.1268 0.6231  3 Cu 2.27-2.31, 1 As 2.29
S 0.6231 0.1275 0.1268  3 Cu 2.27-2.31, 1 As 2.29
S 0.8722 0.3800 0.1277  3 Cu 2.27-2.31, 1 As 2.30
S 0.8756 0.1290 0.3766  3 Cu 2.27-2.31, 1 As 2.30
S 0.3766 0.8756 0.1290  3 Cu 2.27-2.31, 1 As 2.30
S 0.1268 0.6231 0.1275  3 Cu 2.27-2.31, 1 As 2.29
S 0.1277 0.8722 0.3800  3 Cu 2.27-2.31, 1 As 2.30
S 0.6274 0.8618 0.8726  1 As 2.22, 2 Cu 2.28-2.29
S 0.8726 0.6274 0.8618  1 As 2.22, 2 Cu 2.28-2.29
S 0.8618 0.8726 0.6274  1 As 2.22, 2 Cu 2.28-2.29
S 0.8800 0.3722 0.6277  3 Cu 2.27-2.31, 1 As 2.30
S 0.6290 0.3756 0.8766  3 Cu 2.27-2.31, 1 As 2.30
S 0.6275 0.1231 0.6268  3 Cu 2.27-2.31, 1 As 2.29
S 0.1231 0.6268 0.6275  3 Cu 2.27-2.31, 1 As 2.29
S 0.3722 0.6277 0.8800  3 Cu 2.27-2.31, 1 As 2.30
S 0.3756 0.8766 0.6290  3 Cu 2.27-2.31, 1 As 2.30
S 0.8766 0.6290 0.3756  3 Cu 2.27-2.31, 1 As 2.30
S 0.6268 0.6275 0.1231  3 Cu 2.27-2.31, 1 As 2.29
S 0.6277 0.8800 0.3722  3 Cu 2.27-2.31, 1 As 2.30
S 0.1274 0.3726 0.3618  1 As 2.22, 2 Cu 2.28-2.29
S 0.3726 0.3618 0.1274  1 As 2.22, 2 Cu 2.28-2.29
S 0.3618 0.1274 0.3726  1 As 2.22, 2 Cu 2.28-2.29
S 0.3768 0.3788 0.6205  1 V 2.23, 4 Cu 2.32-2.40
S 0.6205 0.3768 0.3788  1 V 2.23, 4 Cu 2.32-2.40
S 0.3788 0.6205 0.3768  1 V 2.23, 4 Cu 2.32-2.40
S 0.6191 0.6191 0.6191  1 V 2.21, 3 Cu 2.30
S 0.8768 0.1205 0.8788  1 V 2.23, 4 Cu 2.32-2.40
S 0.1205 0.8788 0.8768  1 V 2.23, 4 Cu 2.32-2.40
S 0.8788 0.8768 0.1205  1 V 2.23, 4 Cu 2.32-2.40
S 0.1191 0.1191 0.1191  1 V 2.21, 3 Cu 2.30

Output
ΔE_f (raw)	-297.2	meV per atom
space-group type	R3c, No. 161
volume	18.6	Å³/atom
uncorrected energy	-0.3394	Ry per atom

=====

First-principles (PBE) data for a geometry-optimized ZrCu2AsS structure, as listed in Alexandria via LeMat-Bulk.

Lattice parameters (Å, degrees): 4.0510 4.0510 7.4047 90.00 90.00 90.00
Closest atoms and distances in Å follow each position.
Atoms (fractional coordinates):
S 0.0000 0.0000 0.0000  4 Cu 2.03
As 0.0000 0.0000 0.5000  4 Zr 2.86
Cu 0.0000 0.5000 0.0000  2 S 2.03
Cu 0.5000 0.0000 0.0000  2 S 2.03
Zr 0.5000 0.5000 0.5000  4 As 2.86

Output
ΔE_f (raw)	216.1	meV per atom
space-group type	P4/mmm, No. 123
volume	24.3	Å³/atom
uncorrected energy	-0.3592	Ry per atom

=====

First-principles (PBE) data for a geometry-optimized CuSb2As structure, as listed in Alexandria via LeMat-Bulk.

Lattice parameters (Å, degrees): 4.8638 4.8638 3.6690 90.00 90.00 97.97
Closest atoms and distances in Å follow each position.
Atoms (fractional coordinates):
As 0.5000 0.0000 0.5000  8 Sb 3.05, 2 Cu 3.19
Cu 0.0000 0.5000 0.5000  8 Sb 3.05, 2 As 3.19
Sb 0.0000 0.0000 0.0000  4 As 3.05, 4 Cu 3.05, 2 Sb 3.19
Sb 0.5000 0.5000 0.0000  4 Cu 3.05, 4 As 3.05, 2 Sb 3.19

Output
ΔE_f (raw)	347.5	meV per atom
space-group type	Cmmm, No. 65
volume	21.5	Å³/atom
uncorrected energy	-0.2867	Ry per atom

=====

First-principles (PBE) data for a geometry-optimized CuSb3As structure, as listed in Alexandria via LeMat-Bulk.

Lattice parameters (Å, degrees): 5.0584 5.0584 5.0584 90.00 90.00 90.00
Closest atoms and distances in Å follow each position.
Atoms (fractional coordinates):
Sb 0.0000 0.5000 0.0000  2 Cu 2.53
Sb 0.0000 0.0000 0.5000  2 Cu 2.53
Sb 0.5000 0.0000 0.0000  2 Cu 2.53
As 0.5000 0.5000 0.5000  12 Sb 3.58
Cu 0.0000 0.0000 0.0000  6 Sb 2.53

Output
ΔE_f (raw)	586.3	meV per atom
energy relative to the lowest polymorph listed for this composition	0.0	kJ per mole of atoms
space-group type	Pm-3m, No. 221
volume	25.9	Å³/atom
uncorrected energy	-0.2673	Ry per atom

=====

First-principles (PBE) data for a geometry-optimized CuSb2As structure, as listed in Alexandria via LeMat-Bulk.

Lattice parameters (Å, degrees): 6.0614 6.0614 7.4512 66.00 66.00 90.00
Closest atoms and distances in Å follow each position.
Atoms (fractional coordinates):
Sb 0.5964 0.1250 0.2500  2 Cu 2.53, 2 As 2.73
Sb 0.1536 0.6250 0.2500  2 Cu 2.53, 2 As 2.73
Sb 0.3750 0.4036 0.7500  2 Cu 2.53, 2 As 2.73
Sb 0.8750 0.8464 0.7500  2 Cu 2.53, 2 As 2.73
As 0.0000 0.0000 0.0000  4 Sb 2.73
As 0.7500 0.2500 0.5000  4 Sb 2.73
Cu 0.5000 0.5000 0.0000  4 Sb 2.53
Cu 0.2500 0.7500 0.5000  4 Sb 2.53

Output
ΔE_f (raw)	105.6	meV per atom
space-group type	I-42d, No. 122
volume	28.0	Å³/atom
uncorrected energy	-0.3044	Ry per atom

=====

First-principles (PBE) data for a geometry-optimized CuSbAs2 structure, as listed in Alexandria via LeMat-Bulk.

Lattice parameters (Å, degrees): 3.8621 4.6351 4.8259 71.83 90.00 90.00
Closest atoms and distances in Å follow each position.
Atoms (fractional coordinates):
As 0.0000 0.0042 0.0641  1 As 2.48, 2 Cu 2.54
As 0.0000 0.4958 0.4359  1 As 2.48, 2 Cu 2.54
Cu 0.5000 0.2500 0.2500  4 As 2.54, 2 Sb 2.78
Sb 0.5000 0.7500 0.7500  2 Cu 2.78, 4 As 2.92

Output
ΔE_f (raw)	102.1	meV per atom
space-group type	P2/m, No. 10
volume	20.5	Å³/atom
uncorrected energy	-0.3144	Ry per atom

=====

First-principles (PBE) data for a geometry-optimized CuSbAs structure, as listed in Alexandria via LeMat-Bulk.

Lattice parameters (Å, degrees): 4.4791 4.4791 4.4791 60.00 60.00 60.00
Closest atoms and distances in Å follow each position.
Atoms (fractional coordinates):
As 0.5000 0.5000 0.5000  4 Cu 2.74
Cu 0.7500 0.7500 0.7500  4 As 2.74, 4 Sb 2.74
Sb 0.0000 0.0000 0.0000  4 Cu 2.74

Output
ΔE_f (raw)	156.6	meV per atom
energy relative to the lowest polymorph listed for this composition	4.6	kJ per mole of atoms
space-group type	F-43m, No. 216
volume	21.2	Å³/atom
uncorrected energy	-0.3037	Ry per atom

=====

First-principles (PBE) data for a geometry-optimized CuSbAs2 structure, as listed in Alexandria via LeMat-Bulk.

Lattice parameters (Å, degrees): 3.9116 3.9116 6.5305 72.53 72.53 59.27
Closest atoms and distances in Å follow each position.
Atoms (fractional coordinates):
As 0.0161 0.0161 0.9559  3 Cu 2.57-2.60
As 0.4839 0.4839 0.5441  3 Cu 2.57-2.60
Cu 0.7500 0.7500 0.7500  6 As 2.57-2.60
Sb 0.2500 0.2500 0.2500  6 As 2.88-2.89

Output
ΔE_f (raw)	109.1	meV per atom
space-group type	C2/m, No. 12
volume	20.2	Å³/atom
uncorrected energy	-0.3139	Ry per atom

=====

First-principles (PBE) data for a geometry-optimized CuSbAs2 structure, as listed in Alexandria via LeMat-Bulk.

Lattice parameters (Å, degrees): 5.8708 5.8708 3.9517 71.24 71.24 125.23
Closest atoms and distances in Å follow each position.
Atoms (fractional coordinates):
As 0.0000 0.0000 0.0000  4 As 2.70-2.83, 2 Sb 2.96, 2 Cu 2.96
As 0.5000 0.5000 0.0000  4 As 2.70-2.83, 2 Cu 2.96, 2 Sb 2.96
Cu 0.5000 0.0000 0.5000  4 Sb 2.70-2.83, 4 As 2.96
Sb 0.0000 0.5000 0.5000  4 Cu 2.70-2.83, 4 As 2.96

Output
ΔE_f (raw)	214.6	meV per atom
space-group type	C2/m, No. 12
volume	19.9	Å³/atom
uncorrected energy	-0.3061	Ry per atom

=====

First-principles (PBE) data for a geometry-optimized CuSb2As structure, as listed in Alexandria via LeMat-Bulk.

Lattice parameters (Å, degrees): 6.1254 6.1254 6.1254 141.44 141.44 55.68
Closest atoms and distances in Å follow each position.
Atoms (fractional coordinates):
As 0.5000 0.5000 0.0000  4 Sb 2.86
Cu 0.7500 0.2500 0.5000  4 Sb 2.86
Sb 0.0000 0.0000 0.0000  4 As 2.86
Sb 0.2500 0.7500 0.5000  4 Cu 2.86

Output
ΔE_f (raw)	386.5	meV per atom
space-group type	I-4m2, No. 119
volume	22.2	Å³/atom
uncorrected energy	-0.2838	Ry per atom

=====

First-principles (PBE) data for a geometry-optimized CuSbAs2 structure, as listed in Alexandria via LeMat-Bulk.

Lattice parameters (Å, degrees): 4.6536 4.6536 3.8657 90.00 90.00 105.58
Closest atoms and distances in Å follow each position.
Atoms (fractional coordinates):
As 0.0000 0.0000 0.0000  2 As 2.81, 4 Cu 3.02, 4 Sb 3.02
As 0.5000 0.5000 0.0000  2 As 2.81, 4 Sb 3.02, 4 Cu 3.02
Cu 0.5000 0.0000 0.5000  2 Sb 2.81, 8 As 3.02
Sb 0.0000 0.5000 0.5000  2 Cu 2.81, 8 As 3.02

Output
ΔE_f (raw)	399.0	meV per atom
space-group type	Cmmm, No. 65
volume	20.2	Å³/atom
uncorrected energy	-0.2926	Ry per atom

=====

First-principles (PBE) data for a geometry-optimized CuSb3As structure, as listed in Alexandria via LeMat-Bulk.

Lattice parameters (Å, degrees): 5.3521 5.3521 5.3521 90.00 90.00 90.00
Closest atoms and distances in Å follow each position.
Atoms (fractional coordinates):
Sb 0.0000 0.5000 0.0000  2 As 2.68
Sb 0.0000 0.0000 0.5000  2 As 2.68
Sb 0.5000 0.0000 0.0000  2 As 2.68
As 0.0000 0.0000 0.0000  6 Sb 2.68
Cu 0.5000 0.5000 0.5000  12 Sb 3.78

Output
ΔE_f (raw)	971.0	meV per atom
energy relative to the lowest polymorph listed for this composition	37.1	kJ per mole of atoms
space-group type	Pm-3m, No. 221
volume	30.7	Å³/atom
uncorrected energy	-0.2390	Ry per atom